Record 1
Computed, not measured: a geometry-optimized LiCeScCo structure at the PBE-GGA level of DFT.

Properties
**ΔE_f**: -0.01 eV/atom
**V**: 75.1 Å³/cell
**Symmetry**: F-43m (216)

Cell: 4.7353 4.7353 4.7353 Å, 60.00 60.00 60.00°
Element x y z (fractional)
Li1 0.0000 0.0000 0.0000
Ce1 0.7500 0.7500 0.7500
Sc1 0.2500 0.2500 0.2500
Co1 0.5000 0.5000 0.5000

Record 2
Computed, not measured: a geometry-optimized SrIn2Sn3 structure at the PBE-GGA level of DFT.

Properties
**E above lowest polymorph**: 47 meV/atom
**ΔE_f**: -0.19 eV/atom
**V**: 373.7 Å³/cell
**Symmetry**: C2/c (15)

Cell: 6.9839 6.9839 8.4126 Å, 94.54 94.54 113.04°
Element x y z (fractional)
Sr1 0.0580 0.9420 0.7500
Sr2 0.9420 0.0580 0.2500
In1 0.1605 0.4811 0.6341
In2 0.4811 0.1605 0.1341
In3 0.5189 0.8395 0.8659
In4 0.8395 0.5189 0.3659
Sn1 0.2553 0.4120 0.9944
Sn2 0.2642 0.7358 0.2500
Sn3 0.4120 0.2553 0.4944
Sn4 0.5880 0.7447 0.5056
Sn5 0.7358 0.2642 0.7500
Sn6 0.7447 0.5880 0.0056

Record 3
Computed, not measured: a geometry-optimized LaSb2TeRu structure at the PBE-GGA level of DFT.

Properties
**E above lowest polymorph**: 1471 meV/atom
**Uncorrected formation energy**: 120.1 kJ per mole of atoms
**V**: 217.4 Å³/cell
**Symmetry**: P4/mmm (123)

Cell: 6.0256 6.0256 5.9863 Å, 90.00 90.00 90.00°
Element x y z (fractional)
La1 0.0000 0.0000 0.0000
Sb1 0.0000 0.5000 0.0000
Sb2 0.5000 0.0000 0.0000
Te1 0.0000 0.0000 0.5000
Ru1 0.5000 0.5000 0.5000

Record 4
Computed, not measured: a geometry-optimized HfPa4N5 structure at the PBE-GGA level of DFT.

Properties
**Uncorrected formation energy**: -157.9 kJ per mole of atoms
**V**: 144.9 Å³/cell
**Symmetry**: I4/m (87)

Cell: 5.9685 5.9685 5.9685 Å, 99.65 99.65 131.66°
Element x y z (fractional)
Hf1 0.0000 0.0000 0.0000
Pa1 0.2004 0.6002 0.8006
Pa2 0.3998 0.2004 0.6003
Pa3 0.6002 0.7996 0.3997
Pa4 0.7996 0.3998 0.1994
N1 0.0964 0.2854 0.3819
N2 0.2854 0.9036 0.1890
N3 0.5000 0.5000 0.0000
N4 0.7146 0.0964 0.8110
N5 0.9036 0.7146 0.6181

Record 5
Computed, not measured: a geometry-optimized Tl5Sn structure at the PBE-GGA level of DFT.

Properties
**E above lowest polymorph**: 0 meV/atom
**ΔE_f**: 0.02 eV/atom
**V**: 182.4 Å³/cell
**Symmetry**: P-6m2 (187)

Cell: 3.5603 3.5603 16.6174 Å, 90.00 90.00 120.00°
Element x y z (fractional)
Tl1 0.0000 0.0000 0.0000
Tl2 0.0000 0.0000 0.3378
Tl3 0.0000 0.0000 0.6622
Tl4 0.3333 0.6667 0.1663
Tl5 0.3333 0.6667 0.8337
Sn1 0.3333 0.6667 0.5000

Record 6
Computed, not measured: a geometry-optimized Pa2ZnPd2 structure at the PBE-GGA level of DFT.

Properties
**ΔE_f**: -0.38 eV/atom
**V**: 199.8 Å³/cell
**Symmetry**: Cmc2_1 (36)

Cell: 7.9881 7.9881 5.7622 Å, 90.00 90.00 147.09°
Element x y z (fractional)
Pa1 0.0249 0.9751 0.5000
Pa2 0.2148 0.7852 0.5054
Pa3 0.7852 0.2148 0.0054
Pa4 0.9751 0.0249 0.0000
Zn1 0.4040 0.5960 0.2808
Zn2 0.5960 0.4040 0.7808
Pd1 0.1630 0.8370 0.9880
Pd2 0.3975 0.6025 0.7621
Pd3 0.6025 0.3975 0.2621
Pd4 0.8370 0.1630 0.4880

Record 7
Computed, not measured: a geometry-optimized YAl2Cu structure at the PBE-GGA level of DFT.

Properties
**ΔE_f**: -0.27 eV/atom
**V**: 72.3 Å³/cell
**Symmetry**: P4/mmm (123)

Cell: 3.1490 3.1490 7.2921 Å, 90.00 90.00 90.00°
Element x y z (fractional)
Y1 0.0000 0.0000 0.0000
Al1 0.5000 0.5000 0.3058
Al2 0.5000 0.5000 0.6942
Cu1 0.0000 0.0000 0.5000

Record 8
Computed, not measured: a geometry-optimized MnInBr2 structure at the PBE-GGA level of DFT.

Properties
**E above lowest polymorph**: 212 meV/atom
**Uncorrected formation energy**: -19.2 kJ per mole of atoms
**V**: 106.8 Å³/cell
**Symmetry**: P4/mmm (123)

Cell: 3.3866 3.3866 9.3161 Å, 90.00 90.00 90.00°
Element x y z (fractional)
Mn1 0.0000 0.0000 0.0000
In1 0.0000 0.0000 0.5000
Br1 0.5000 0.5000 0.1777
Br2 0.5000 0.5000 0.8223

Record 9
Computed, not measured: a geometry-optimized AlFeAu structure at the PBE-GGA level of DFT.

Properties
**ΔE_f**: -0.11 eV/atom
**V**: 44.4 Å³/cell
**Symmetry**: I4mm (107)

Cell: 5.8080 5.8080 5.8080 Å, 151.53 151.53 40.70°
Element x y z (fractional)
Al1 0.0000 0.0000 0.0000
Fe1 0.6481 0.6481 0.0000
Au1 0.3243 0.3243 0.0000

Record 10
Computed, not measured: a geometry-optimized CoMoRu2 structure at the PBE-GGA level of DFT.

Properties
**E above lowest polymorph**: 95 meV/atom
**ΔE_f**: 0.10 eV/atom
**V**: 54.7 Å³/cell
**Symmetry**: C2/m (12)

Cell: 4.5685 4.5685 4.7000 Å, 99.06 99.06 34.45°
Element x y z (fractional)
Co1 0.0000 0.0000 0.0000
Mo1 0.5000 0.5000 0.5000
Ru1 0.2552 0.2552 0.7695
Ru2 0.7448 0.7448 0.2305

Record 11
Computed, not measured: a geometry-optimized La8Ga2Pb structure at the PBE-GGA level of DFT.

Properties
**ΔE_f**: -0.34 eV/atom
**V**: 346.3 Å³/cell
**Symmetry**: C2/m (12)

Cell: 9.3223 9.3223 8.2984 Å, 110.33 110.33 30.98°
Element x y z (fractional)
La1 0.0532 0.0532 0.2380
La2 0.1630 0.1630 0.7540
La3 0.3263 0.3263 0.5714
La4 0.3899 0.3899 0.0544
La5 0.6101 0.6101 0.9456
La6 0.6737 0.6737 0.4286
La7 0.8370 0.8370 0.2460
La8 0.9468 0.9468 0.7620
Ga1 0.2175 0.2175 0.1764
Ga2 0.7825 0.7825 0.8236
Pb1 0.5000 0.5000 0.5000

Record 12
Computed, not measured: a geometry-optimized Li2BeOs structure at the PBE-GGA level of DFT.

Properties
**ΔE_f**: 0.21 eV/atom
**V**: 50.0 Å³/cell
**Symmetry**: Pmmm (47)

Cell: 2.4868 4.3612 4.6096 Å, 90.00 90.00 90.00°
Element x y z (fractional)
Li1 0.0000 0.0000 0.2418
Li2 0.0000 0.0000 0.7582
Be1 0.5000 0.5000 0.5000
Os1 0.5000 0.5000 0.0000

> Which of these has the lowest V?

AlFeAu